# Ce5Ga2Au

Ce5Ga2Au after structural relaxation (PBE, the Alexandria database).

Unit cell a=5.0838 b=5.0838 c=25.3996 alpha=90.00 beta=90.00 gamma=120.00
Space group R-3m (No. 166, hexagonal axes)
Inequivalent atoms, fractional coordinates:
1 Ce 0.0000 0.0000 0.0000
2 Ce 0.0000 0.0000 0.1204
3 Ce 0.0000 0.0000 0.2561
4 Ga 0.0000 0.0000 0.3856
5 Au 0.0000 0.0000 0.5000

Results
VASP energy = -5.230 eV per atom
E_form = -0.36 eV per atom

=====

# MnCoSi2

MnCoSi2 after structural relaxation (PBE, the Alexandria database).

Unit cell a=7.613 b=2.626 c=4.700 alpha=90.00 beta=102.20 gamma=90.00
Space group C2/m (No. 12)
Inequivalent atoms, fractional coordinates:
1 Mn 0.000 0.000 0.000
2 Co 0.000 0.500 0.500
3 Si 0.247 0.000 0.746

Results
formation energy (no corrections) = -270.3 meV per atom
offset from the most stable computed form = 0.235 eV/atom
VASP energy = -7.051 eV per atom

=====

# TlReAu2

TlReAu2 after structural relaxation (PBE, the Alexandria database).

Unit cell a=3.026 b=4.922 c=10.249 alpha=90.00 beta=90.00 gamma=90.00
Space group Cmm2 (No. 35)
Inequivalent atoms, fractional coordinates:
1 Tl 0.000 0.000 0.000
2 Re 0.000 0.500 0.257
3 Au 0.000 0.000 0.483
4 Au 0.000 0.500 0.723

Results
offset from the most stable computed form = 0.099 eV/atom
VASP energy = -4.723 eV per atom
E_form = 0.62 eV per atom

=====

# AlB3Pb

AlB3Pb after structural relaxation (PBE, the Alexandria database).

Unit cell a=4.654 b=4.654 c=4.654 alpha=90.00 beta=90.00 gamma=90.00
Space group Pm-3m (No. 221)
Inequivalent atoms, fractional coordinates:
1 Al 0.000 0.000 0.000
2 B 0.000 0.500 0.500
3 Pb 0.500 0.500 0.500

Results
offset from the most stable computed form = 0.894 eV/atom
VASP energy = -2.999 eV per atom
E_form = 2.50 eV per atom

=====

# ReSbIN2

ReSbIN2 after structural relaxation (PBE, the Alexandria database).

Unit cell a=4.040 b=4.040 c=5.805 alpha=90.00 beta=90.00 gamma=90.00
Space group P4/mmm (No. 123)
Inequivalent atoms, fractional coordinates:
1 Re 0.000 0.000 0.000
2 Sb 0.500 0.500 0.500
3 I 0.000 0.000 0.500
4 N 0.000 0.500 0.000

Results
formation energy (no corrections) = 1063.3 meV per atom
offset from the most stable computed form = 0.000 eV/atom
VASP energy = -5.891 eV per atom

=====

# YNbIO2

YNbIO2 after structural relaxation (PBE, the Alexandria database).

Unit cell a=4.353 b=4.353 c=6.113 alpha=90.00 beta=90.00 gamma=90.00
Space group P4/mmm (No. 123)
Inequivalent atoms, fractional coordinates:
1 Y 0.000 0.000 0.000
2 Nb 0.500 0.500 0.500
3 I 0.000 0.000 0.500
4 O 0.000 0.500 0.000

Results
formation energy (no corrections) = -718.3 meV per atom
offset from the most stable computed form = 0.435 eV/atom
VASP energy = -6.318 eV per atom

=====

# KSnH

KSnH after structural relaxation (PBE, the Alexandria database).

Unit cell a=6.373 b=3.683 c=6.600 alpha=90.00 beta=105.73 gamma=90.00
Space group P2/m (No. 10)
Inequivalent atoms, fractional coordinates:
1 K 0.228 0.000 0.303
2 Sn 0.288 0.500 0.840
3 H 0.420 0.500 0.627

Results
offset from the most stable computed form = 0.041 eV/atom
VASP energy = -2.965 eV per atom

=====

# ErMg2Sc2

ErMg2Sc2 after structural relaxation (PBE, the Alexandria database).

Unit cell a=4.331 b=4.331 c=14.418 alpha=90.00 beta=90.00 gamma=90.00
Space group I4/mmm (No. 139)
Inequivalent atoms, fractional coordinates:
1 Er 0.000 0.000 0.000
2 Mg 0.000 0.500 0.250
3 Sc 0.000 0.000 0.402

Results
offset from the most stable computed form = 0.331 eV/atom
VASP energy = -3.786 eV per atom
E_form = 0.30 eV per atom

=====

# KIr3Cl

KIr3Cl after structural relaxation (PBE, the Alexandria database).

Unit cell a=4.998 b=4.998 c=4.998 alpha=90.00 beta=90.00 gamma=90.00
Space group Pm-3m (No. 221)
Inequivalent atoms, fractional coordinates:
1 K 0.000 0.000 0.000
2 Ir 0.000 0.000 0.500
3 Cl 0.500 0.500 0.500

Results
formation energy (no corrections) = 3301.6 meV per atom
offset from the most stable computed form = 1.790 eV/atom
VASP energy = -2.604 eV per atom

=====

# CsReP2O

CsReP2O after structural relaxation (PBE, the Alexandria database).

Unit cell a=5.353 b=5.353 c=4.170 alpha=90.00 beta=90.00 gamma=90.00
Space group P4/mmm (No. 123)
Inequivalent atoms, fractional coordinates:
1 Cs 0.000 0.000 0.000
2 Re 0.500 0.500 0.500
3 P 0.000 0.500 0.000
4 O 0.000 0.000 0.500

Results
formation energy (no corrections) = 2337.7 meV per atom
offset from the most stable computed form = 2.392 eV/atom
VASP energy = -3.478 eV per atom

=====

# Dy7Tm3Zr

Dy7Tm3Zr after structural relaxation (PBE, the Alexandria database).

Unit cell a=6.853 b=17.996 c=11.010 alpha=90.00 beta=90.24 gamma=90.00
Space group C2/m (No. 12)
Inequivalent atoms, fractional coordinates:
1 Dy 0.246 0.159 0.471
2 Dy 0.247 0.341 0.972
3 Dy 0.249 0.086 0.750
4 Dy 0.249 0.500 0.750
5 Tm 0.000 0.000 0.000
6 Tm 0.000 0.250 0.250
7 Tm 0.000 0.500 0.500
8 Zr 0.000 0.000 0.500
9 Zr 0.000 0.500 0.000

Results
VASP energy = -4.769 eV per atom
E_form = 0.16 eV per atom

=====

# HoScTiIn

HoScTiIn after structural relaxation (PBE, the Alexandria database).

Unit cell a=7.218 b=7.218 c=7.218 alpha=90.00 beta=90.00 gamma=90.00
Space group F-43m (No. 216)
Inequivalent atoms, fractional coordinates:
1 Ho 0.000 0.000 0.000
2 Sc 0.000 0.000 0.500
3 Ti 0.250 0.250 0.750
4 In 0.250 0.250 0.250

Results
VASP energy = -5.496 eV per atom
E_form = -0.11 eV per atom

=====

# SrPmDy4S8

SrPmDy4S8 after structural relaxation (PBE, the Alexandria database).

Unit cell a=8.1710 b=8.1710 c=20.2248 alpha=90.00 beta=90.00 gamma=120.00
Space group R3m (No. 160, hexagonal axes)
Inequivalent atoms, fractional coordinates:
1 Sr 0.0000 0.0000 0.0000
2 Pm 0.0000 0.0000 0.3721
3 Dy 0.0000 0.0000 0.7486
4 Dy 0.0048 0.5024 0.8746
5 S 0.0000 0.0000 0.1384
6 S 0.0000 0.0000 0.6162
7 S 0.0155 0.5077 0.1285
8 S 0.1834 0.3668 0.9501

Results
formation energy (no corrections) = -1988.3 meV per atom
VASP energy = -6.121 eV per atom

=====

# Y2MgAs2

Y2MgAs2 after structural relaxation (PBE, the Alexandria database).

Unit cell a=8.054 b=8.054 c=3.729 alpha=90.00 beta=90.00 gamma=90.00
Space group P4/mbm (No. 127)
Inequivalent atoms, fractional coordinates:
1 Y 0.145 0.355 0.000
2 Mg 0.000 0.000 0.000
3 As 0.159 0.659 0.500

Results
VASP energy = -5.569 eV per atom
E_form = -0.80 eV per atom

=====

# Na2TaV2

Na2TaV2 after structural relaxation (PBE, the Alexandria database).

Unit cell a=3.651 b=3.651 c=14.408 alpha=90.00 beta=90.00 gamma=90.00
Space group I4/mmm (No. 139)
Inequivalent atoms, fractional coordinates:
1 Na 0.000 0.500 0.250
2 Ta 0.000 0.000 0.000
3 V 0.000 0.000 0.427

Results
offset from the most stable computed form = 0.000 eV/atom
VASP energy = -5.702 eV per atom
E_form = 0.84 eV per atom

=====

# Sm2EuGe

Sm2EuGe after structural relaxation (PBE, the Alexandria database).

Unit cell a=7.616 b=7.616 c=7.616 alpha=90.00 beta=90.00 gamma=90.00
Space group Fm-3m (No. 225)
Inequivalent atoms, fractional coordinates:
1 Sm 0.250 0.250 0.250
2 Eu 0.000 0.000 0.000
3 Ge 0.000 0.000 0.500

Results
offset from the most stable computed form = 0.162 eV/atom
VASP energy = -6.216 eV per atom
E_form = -0.13 eV per atom

=====

# Cd6In2Pb

Cd6In2Pb after structural relaxation (PBE, the Alexandria database).

Unit cell a=15.200 b=8.435 c=3.725 alpha=90.00 beta=102.05 gamma=90.00
Space group C2/m (No. 12)
Inequivalent atoms, fractional coordinates:
1 Cd 0.000 0.178 0.000
2 Cd 0.178 0.324 0.181
3 In 0.141 0.000 0.626
4 Pb 0.000 0.500 0.500

Results
offset from the most stable computed form = 0.000 eV/atom
VASP energy = -1.574 eV per atom
E_form = 0.06 eV per atom

=====

# ZrMo2Cl

ZrMo2Cl after structural relaxation (PBE, the Alexandria database).

Unit cell a=3.175 b=3.175 c=7.079 alpha=90.00 beta=90.00 gamma=90.00
Space group P4/mmm (No. 123)
Inequivalent atoms, fractional coordinates:
1 Zr 0.000 0.000 0.000
2 Mo 0.500 0.500 0.250
3 Cl 0.000 0.000 0.500

Results
formation energy (no corrections) = 598.4 meV per atom
offset from the most stable computed form = 0.756 eV/atom
VASP energy = -7.416 eV per atom

=====

# LiCe2PuSe5

LiCe2PuSe5 after structural relaxation (PBE, the Alexandria database).

Unit cell a=4.173 b=17.209 c=12.370 alpha=90.00 beta=90.00 gamma=90.00
Space group Cmc2_1 (No. 36)
Inequivalent atoms, fractional coordinates:
1 Li 0.000 0.019 0.000
2 Ce 0.000 0.374 0.822
3 Ce 0.000 0.390 0.206
4 Pu 0.000 0.301 0.525
5 Se 0.000 0.001 0.302
6 Se 0.000 0.135 0.521
7 Se 0.000 0.190 0.865
8 Se 0.000 0.211 0.186
9 Se 0.000 0.455 0.595

Results
formation energy (no corrections) = -1597.3 meV per atom
VASP energy = -6.657 eV per atom

=====

# Be2ReBi2

Be2ReBi2 after structural relaxation (PBE, the Alexandria database).

Unit cell a=4.464 b=4.464 c=10.350 alpha=90.00 beta=90.00 gamma=90.00
Space group I4/mmm (No. 139)
Inequivalent atoms, fractional coordinates:
1 Be 0.000 0.000 0.095
2 Re 0.000 0.000 0.500
3 Bi 0.000 0.500 0.250

Results
offset from the most stable computed form = 0.647 eV/atom
VASP energy = -4.039 eV per atom
E_form = 1.49 eV per atom